Computed, not measured: a relaxed structure of Pr2BeHgPd6 at the PBE level of DFT.

Summary:
DFT formation energy   -0.54 eV per atom
DFT total energy   -5.014 eV/atom
D(E_F)   4.241 states/eV per cell

POSCAR file:
```
Pr2BeHgPd6
1.0
5.926 0.040 0.048
-0.037 7.605 1.130
2.921 4.644 5.350
Pr Be Hg Pd
2 1 1 6
direct
0.749 0.246 0.499 Pr
0.251 0.754 0.501 Pr
0.500 0.500 0.000 Be
0.000 0.000 0.000 Hg
0.264 0.202 0.469 Pd
0.788 0.731 0.946 Pd
0.264 0.731 0.943 Pd
0.736 0.269 0.057 Pd
0.212 0.269 0.054 Pd
0.736 0.798 0.531 Pd
```

Computed, not measured: a relaxed structure of BeRe2HgPd at the PBE level of DFT.

Summary:
DFT formation energy   0.84 eV per atom
DFT total energy   -5.979 eV/atom
D(E_F)   4.179 states/eV per cell

POSCAR file:
```
BeRe2HgPd
1.0
-0.587 1.271 4.010
-1.519 -3.835 0.993
3.922 -1.299 0.986
Re Hg Pd Be
2 1 1 1
direct
0.000 0.000 0.500 Re
0.500 0.000 0.000 Re
0.500 0.500 0.500 Hg
0.000 0.500 0.000 Pd
0.000 0.000 0.000 Be
```

Computed, not measured: a relaxed structure of Sm3Be2HgPd9 at the PBE level of DFT.

Summary:
DFT formation energy   -0.60 eV per atom
DFT total energy   -5.176 eV/atom
D(E_F)   4.819 states/eV per cell

POSCAR file:
```
Sm3Be2HgPd9
1.0
5.925 0.000 0.000
-2.962 5.131 0.000
0.000 0.000 9.728
Sm Be Hg Pd
3 2 1 9
direct
0.333 0.667 0.716 Sm
0.000 0.000 0.000 Sm
0.667 0.333 0.284 Sm
0.333 0.667 0.145 Be
0.667 0.333 0.855 Be
0.000 0.000 0.500 Hg
0.840 0.160 0.731 Pd
0.840 0.681 0.731 Pd
0.319 0.160 0.731 Pd
0.681 0.840 0.269 Pd
0.160 0.319 0.269 Pd
0.160 0.840 0.269 Pd
0.500 0.000 0.000 Pd
0.000 0.500 0.000 Pd
0.500 0.500 0.000 Pd
```

Computed, not measured: a relaxed structure of SrBeHgPd2 at the PBE level of DFT.

Summary:
DFT formation energy   -0.34 eV per atom
DFT total energy   -3.559 eV/atom
D(E_F)   2.912 states/eV per cell

POSCAR file:
```
SrBeHgPd2
1.0
-3.877 -2.038 1.365
2.452 -3.254 2.107
0.033 2.576 3.939
Sr Hg Pd Be
1 1 2 1
direct
0.500 0.500 0.500 Sr
0.000 0.000 0.500 Hg
0.000 0.500 0.000 Pd
0.500 0.000 0.000 Pd
0.000 0.000 0.000 Be
```

Computed, not measured: a relaxed structure of Pm2BeHg at the PBE level of DFT.

Summary:
DFT formation energy   -0.08 eV per atom
DFT total energy   -3.458 eV/atom
Energy above the lowest structure with this stoichiometry   82.3 meV per atom
D(E_F)   4.649 states/eV per cell

POSCAR file:
```
Pm2BeHg
1.0
5.224 0.000 0.000
2.612 4.524 0.000
2.612 1.508 4.265
Be Hg Pm
1 1 2
direct
0.000 0.000 0.000 Be
0.500 0.500 0.500 Hg
0.250 0.250 0.250 Pm
0.750 0.750 0.750 Pm
```

Computed, not measured: a relaxed structure of PmBeHg3 at the PBE level of DFT.

Summary:
DFT formation energy   -0.07 eV per atom
DFT total energy   -1.945 eV/atom
D(E_F)   2.775 states/eV per cell

POSCAR file:
```
PmBeHg3
1.0
4.820 0.000 0.000
0.000 4.820 0.000
0.000 0.000 4.820
Be Hg Pm
1 3 1
direct
0.000 0.000 0.000 Be
0.000 0.500 0.000 Hg
0.000 0.000 0.500 Hg
0.500 0.000 0.000 Hg
0.500 0.500 0.500 Pm
```

Computed, not measured: a relaxed structure of Pm2BeHg at the PBE level of DFT.

Summary:
DFT formation energy   0.57 eV per atom
DFT total energy   -2.811 eV/atom
Energy above the lowest structure with this stoichiometry   729.3 meV per atom
D(E_F)   3.925 states/eV per cell

POSCAR file:
```
Pm2BeHg
1.0
3.455 0.000 0.000
1.728 2.992 0.000
1.728 0.997 11.114
Be Hg Pm
1 1 2
direct
0.000 0.000 0.000 Be
0.500 0.500 0.500 Hg
0.090 0.090 0.731 Pm
0.910 0.910 0.269 Pm
```

Computed, not measured: a relaxed structure of Pm2BeHg at the PBE level of DFT.

Summary:
DFT formation energy   -0.16 eV per atom
DFT total energy   -3.540 eV/atom
Energy above the lowest structure with this stoichiometry   0.0 meV per atom
D(E_F)   3.114 states/eV per cell

POSCAR file:
```
Pm2BeHg
1.0
3.610 0.000 0.000
0.000 3.610 0.000
0.000 0.000 7.519
Be Hg Pm
1 1 2
direct
0.500 0.500 0.000 Be
0.500 0.500 0.500 Hg
0.000 0.000 0.779 Pm
0.000 0.000 0.221 Pm
```